Model i:
# AcPrInHg PBE relaxed
data_AcPrInHg
_cell_length_a 7.9913
_cell_length_b 7.9913
_cell_length_c 7.9913
_cell_angle_alpha 90.00
_cell_angle_beta 90.00
_cell_angle_gamma 90.00
_symmetry_space_group_name_H-M 'F -4 3 m'
_symmetry_Int_Tables_number 216
_symmetry_space_group_name_Hall 'F -4 2 3'
loop_
_atom_site_label
_atom_site_fract_x
_atom_site_fract_y
_atom_site_fract_z
_atom_site_occupancy
Ac1 0.0000 0.0000 0.0000 1
Pr1 0.0000 0.0000 0.5000 1
In1 0.2500 0.2500 0.7500 1
Hg1 0.2500 0.2500 0.2500 1
# D(E_F) (states/eV/cell): 19.540

***

Model ii:
# AcPrInHg PBE relaxed
data_AcPrInHg
_cell_length_a 3.9466
_cell_length_b 3.9466
_cell_length_c 8.1008
_cell_angle_alpha 90.00
_cell_angle_beta 90.00
_cell_angle_gamma 90.00
_symmetry_space_group_name_H-M 'P 4 m m'
_symmetry_Int_Tables_number 99
_symmetry_space_group_name_Hall 'P 4 -2'
loop_
_atom_site_label
_atom_site_fract_x
_atom_site_fract_y
_atom_site_fract_z
_atom_site_occupancy
Ac1 0.0000 0.0000 0.0000 1
Pr1 0.0000 0.0000 0.5077 1
In1 0.5000 0.5000 0.2701 1
Hg1 0.5000 0.5000 0.7310 1
# D(E_F) (states/eV/cell): 4.772

***

Relative to the most stable structure, the computed energies are model i 0.019; model ii 0.000, all in eV/atom.